Entry 1:
Here is a relaxed structure of Sn3MoRh from Alexandria. Energies are from PBE-GGA.

Computed properties:
V: 27.6 Å³/atom
energy of formation from the pure elements: 420 kJ/mol of formula units

Cell: 5.1692 5.1692 5.1692 Å, 90.00 90.00 90.00°
Each line ends with the local moment (μB).
Atoms (fractional coordinates):
Sn1 0.5000 0.0000 0.0000  -0.01
Sn2 0.0000 0.5000 0.0000  0.01
Sn3 0.0000 0.0000 0.5000  0.05
Mo1 0.0000 0.0000 0.0000  0.16
Rh1 0.5000 0.5000 0.5000  0.76

---

Entry 2:
Here is a relaxed structure of SnMoRh2 from Alexandria. Energies are from PBE-GGA.

Computed properties:
V: 16.1 Å³/atom
energy of formation from the pure elements: -65 kJ/mol of formula units

Cell: 2.9024 2.9024 7.6276 Å, 90.00 90.00 90.00°
Atoms (fractional coordinates):
Rh1 0.0000 0.0000 0.7408
Rh2 0.0000 0.0000 0.2592
Sn1 0.5000 0.5000 0.0000
Mo1 0.5000 0.5000 0.5000

---

Entry 3:
Here is a relaxed structure of SnMo2Rh from Alexandria. Energies are from PBE-GGA.

Computed properties:
V: 18.2 Å³/atom
energy of formation from the pure elements: 214 kJ/mol of formula units

Cell: 7.3859 7.3859 5.8636 Å, 50.96 50.96 90.00°
Atoms (fractional coordinates):
Mo1 0.1522 0.6250 0.2500
Mo2 0.8750 0.8478 0.7500
Mo3 0.5978 0.1250 0.2500
Mo4 0.3750 0.4022 0.7500
Rh1 0.2500 0.7500 0.5000
Rh2 0.5000 0.5000 0.0000
Sn1 0.0000 0.0000 0.0000
Sn2 0.7500 0.2500 0.5000

---

Entry 4:
Here is a relaxed structure of SnMoRh2 from Alexandria. Energies are from PBE-GGA.

Computed properties:
V: 17.9 Å³/atom
energy of formation from the pure elements: 113 kJ/mol of formula units

Cell: 4.0521 4.0521 9.1988 Å, 77.28 77.28 90.00°
Atoms (fractional coordinates):
Mo1 0.2500 0.7500 0.5000
Mo2 0.5000 0.5000 0.0000
Rh1 0.6043 0.1250 0.2500
Rh2 0.3750 0.3957 0.7500
Rh3 0.1457 0.6250 0.2500
Rh4 0.8750 0.8543 0.7500
Sn1 0.7500 0.2500 0.5000
Sn2 0.0000 0.0000 0.0000

---

Entry 5:
Here is a relaxed structure of TaSnMoRh from Alexandria. Energies are from PBE-GGA.

Computed properties:
V: 16.9 Å³/atom
energy of formation from the pure elements: -79 kJ/mol of formula units

Cell: 4.5763 4.5763 4.5763 Å, 60.00 60.00 60.00°
Atoms (fractional coordinates):
Rh1 0.5000 0.5000 0.5000
Ta1 0.7500 0.7500 0.7500
Sn1 0.2500 0.2500 0.2500
Mo1 0.0000 0.0000 0.0000

---

Entry 6:
Here is a relaxed structure of TiSnMoRh from Alexandria. Energies are from PBE-GGA.

Computed properties:
V: 16.4 Å³/atom
energy of formation from the pure elements: -119 kJ/mol of formula units

Cell: 4.5302 4.5302 4.5302 Å, 60.00 60.00 60.00°
Atoms (fractional coordinates):
Ti1 0.5000 0.5000 0.5000
Rh1 0.7500 0.7500 0.7500
Sn1 0.0000 0.0000 0.0000
Mo1 0.2500 0.2500 0.2500

---

Entry 7:
Here is a relaxed structure of TlSnMo2Rh from Alexandria. Energies are from PBE-GGA.

Computed properties:
V: 23.9 Å³/atom
energy of formation from the pure elements: 592 kJ/mol of formula units

Cell: 4.8499 5.0715 4.8499 Å, 90.00 90.00 90.00°
Each line ends with the local moment (μB).
Atoms (fractional coordinates):
Sn1 0.5000 0.5000 0.5000  -0.09
Mo1 0.5000 0.0000 0.0000  1.47
Mo2 0.0000 0.0000 0.5000  1.38
Rh1 0.0000 0.0000 0.0000  -0.09
Tl1 0.0000 0.5000 0.0000  -0.03

---

Entry 8:
Here is a relaxed structure of SrMo2Rh from Alexandria. Energies are from PBE-GGA.

Computed properties:
V: 18.5 Å³/atom
energy of formation from the pure elements: 318 kJ/mol of formula units

Cell: 10.4180 10.4180 10.4180 Å, 15.91 15.91 15.91°
Atoms (fractional coordinates):
Sr1 0.7500 0.7500 0.7500
Mo1 0.5126 0.5126 0.5126
Mo2 0.9874 0.9874 0.9874
Rh1 0.2500 0.2500 0.2500

---

Entry 9:
Here is a relaxed structure of Sr4MoRh from Alexandria. Energies are from PBE-GGA.

Computed properties:
V: 34.6 Å³/atom
energy of formation from the pure elements: 773 kJ/mol of formula units

Cell: 6.6453 6.6453 6.6453 Å, 60.00 60.00 60.00°
Each line ends with the local moment (μB).
Atoms (fractional coordinates):
Sr1 0.3744 0.3744 0.8767  0.00
Sr2 0.3744 0.8767 0.3744  0.00
Sr3 0.3744 0.3744 0.3744  0.00
Sr4 0.8767 0.3744 0.3744  0.00
Rh1 0.0000 0.0000 0.0000  0.36
Mo1 0.7500 0.7500 0.7500  3.37

---

Entry 10:
Here is a relaxed structure of SrMo2Rh from Alexandria. Energies are from PBE-GGA.

Computed properties:
V: 21.4 Å³/atom
energy of formation from the pure elements: 174 kJ/mol of formula units

Cell: 5.4464 5.4464 5.3237 Å, 77.53 77.53 33.75°
Atoms (fractional coordinates):
Sr1 0.2500 0.2500 0.2500
Mo1 0.0339 0.0339 0.8921
Mo2 0.4661 0.4661 0.6079
Rh1 0.7500 0.7500 0.7500

---

Entry 11:
Here is a relaxed structure of SrMo2Rh from Alexandria. Energies are from PBE-GGA.

Computed properties:
V: 18.7 Å³/atom
energy of formation from the pure elements: 274 kJ/mol of formula units

Cell: 3.1981 4.4855 6.8817 Å, 49.38 90.00 90.00°
Each line ends with the local moment (μB).
Atoms (fractional coordinates):
Rh1 0.5000 0.5000 0.5000  0.00
Sr1 0.0000 0.0000 0.5000  0.01
Mo1 0.0000 0.0000 0.0000  -0.07
Mo2 0.5000 0.5000 0.0000  0.14

---

Entry 12:
Here is a relaxed structure of SrMo2Rh from Alexandria. Energies are from PBE-GGA.

Computed properties:
V: 19.0 Å³/atom
energy of formation from the pure elements: 307 kJ/mol of formula units

Cell: 5.7271 5.7271 5.7271 Å, 140.25 140.25 57.47°
Atoms (fractional coordinates):
Sr1 0.7500 0.2500 0.5000
Mo1 0.0000 0.0000 0.0000
Mo2 0.5000 0.5000 0.0000
Rh1 0.2500 0.7500 0.5000